No. 1
A plane-wave DFT calculation with GGA-PBE was carried out for a relaxed Ac3Sn2HgPd6 crystal.

abc: 6.0400 6.0400 9.1823
angles: 90.00 90.00 120.00
Space group P-3m1 (No. 164)
Unique sites:
Ac 0.0000 0.0000 0.0000 x1
Ac 0.3333 0.6667 0.6373 x2
Sn 0.3333 0.6667 0.0314 x2
Hg 0.0000 0.0000 0.5000 x1
Pd 0.1764 0.3529 0.2783 x6

Computed properties:
Fermi-level density of states (states/eV/cell): 5.25
E_form (kJ per mole of atoms): -64
DFT total energy (eV for the cell shown): -59.8



No. 2
A plane-wave DFT calculation with GGA-PBE was carried out for a relaxed RhC2 crystal.

abc: 2.588 15.603 2.660
angles: 90.00 90.00 90.00
Space group Cmcm (No. 63)
Unique sites:
Rh 0.000 0.184 0.250 x4
C 0.000 0.083 0.750 x4
C 0.000 0.470 0.250 x4

Computed properties:
Fermi-level density of states (states/eV/cell): 9.68
E_form (kJ per mole of atoms): 47
DFT total energy (eV for the cell shown): -97.3



No. 3
A plane-wave DFT calculation with GGA-PBE was carried out for a relaxed Nd3YTe4 crystal.

abc: 9.041 12.639 4.413
angles: 90.00 90.00 90.00
Space group Cmmm (No. 65)
Unique sites:
Nd 0.000 0.000 0.000 x2
Nd 0.250 0.250 0.500 x4
Y 0.000 0.500 0.000 x2
Te 0.000 0.254 0.000 x4
Te 0.242 0.500 0.500 x4

Computed properties:
Formation energy from raw total energies (eV per atom): -1.393
Fermi-level density of states (states/eV/cell): 10.47
DFT total energy (eV for the cell shown): -89.0



No. 4
A plane-wave DFT calculation with GGA-PBE was carried out for a relaxed Pm5Sn2C2 crystal.

abc: 5.034 5.034 9.623
angles: 90.00 90.00 90.00
Space group P4/mmm (No. 123)
Unique sites:
Pm 0.000 0.000 0.000 x1
Pm 0.000 0.500 0.283 x4
Sn 0.500 0.500 0.000 x1
Sn 0.500 0.500 0.500 x1
C 0.000 0.000 0.246 x2

Computed properties:
Fermi-level density of states (states/eV/cell): 4.69
E_form (kJ per mole of atoms): -30
DFT total energy (eV for the cell shown): -53.0



No. 5
A plane-wave DFT calculation with GGA-PBE was carried out for a relaxed HfP3I crystal.

abc: 4.926 4.926 4.926
angles: 90.00 90.00 90.00
Space group Pm-3m (No. 221)
Unique sites:
Hf 0.000 0.000 0.000 x1
P 0.000 0.500 0.500 x3
I 0.500 0.500 0.500 x1

Computed properties:
Formation energy from raw total energies (eV per atom): 1.416
Fermi-level density of states (states/eV/cell): 2.07
DFT total energy (eV for the cell shown): -20.7



No. 6
A plane-wave DFT calculation with GGA-PBE was carried out for a relaxed CaPm6Y2Er3 crystal.

abc: 6.277 10.870 11.882
angles: 90.00 100.05 90.00
Space group C2/m (No. 12)
Unique sites:
Ca 0.000 0.000 0.000 x2
Pm 0.245 0.330 0.745 x8
Pm 0.246 0.500 0.256 x4
Y 0.000 0.333 0.000 x4
Er 0.000 0.166 0.500 x4
Er 0.000 0.500 0.500 x2

Computed properties:
Fermi-level density of states (states/eV/cell): 27.91
E_form (kJ per mole of atoms): 3
DFT total energy (eV for the cell shown): -113.4



No. 7
A plane-wave DFT calculation with GGA-PBE was carried out for a relaxed BaNbH crystal.

abc: 3.627 3.902 10.394
angles: 86.70 80.16 89.99
Space group P1 (No. 1)
Unique sites:
Ba 0.000 0.000 0.000 x1
Ba 0.196 0.393 0.611 x1
Nb 0.366 0.449 0.265 x1
Nb 0.825 0.934 0.350 x1
H 0.730 0.905 0.542 x1
H 0.818 0.433 0.363 x1

Computed properties:
Fermi-level density of states (states/eV/cell): 4.44
DFT total energy (eV for the cell shown): -30.1



No. 8
A plane-wave DFT calculation with GGA-PBE was carried out for a relaxed MgSbBr2 crystal.

abc: 7.505 7.505 7.505
angles: 90.00 90.00 90.00
Space group F-43m (No. 216)
Unique sites:
Mg 0.000 0.000 0.000 x4
Sb 0.250 0.250 0.750 x4
Br 0.000 0.000 0.500 x4
Br 0.250 0.250 0.250 x4

Computed properties:
Formation energy from raw total energies (eV per atom): 0.030
Fermi-level density of states (states/eV/cell): 17.53
DFT total energy (eV for the cell shown): -35.8



No. 9
A plane-wave DFT calculation with GGA-PBE was carried out for a relaxed Cr3As crystal.

abc: 5.0560 5.0560 8.8599
angles: 90.00 90.00 120.00
Space group P6_3/mmc (No. 194)
Unique sites:
Cr 0.0000 0.5000 0.0000 x6
Cr 0.1678 0.3357 0.2500 x6
As 0.0000 0.0000 0.0000 x2
As 0.3333 0.6667 0.7500 x2

Computed properties:
Fermi-level density of states (states/eV/cell): 13.37
E_form (kJ per mole of atoms): 12
DFT total energy (eV for the cell shown): -132.0



No. 10
A plane-wave DFT calculation with GGA-PBE was carried out for a relaxed TaPRu2 crystal.

abc: 2.895 2.895 6.825
angles: 90.00 90.00 90.00
Space group P4mm (No. 99)
Unique sites:
Ta 0.000 0.000 0.000 x1
P 0.500 0.500 0.252 x1
Ru 0.000 0.000 0.446 x1
Ru 0.500 0.500 0.720 x1

Computed properties:
Fermi-level density of states (states/eV/cell): 3.42
E_form (kJ per mole of atoms): -23
DFT total energy (eV for the cell shown): -36.8



No. 11
A plane-wave DFT calculation with GGA-PBE was carried out for a relaxed Tb4PaSe8 crystal.

abc: 8.1725 8.1725 20.0677
angles: 90.00 90.00 120.00
Space group R-3m (No. 166, hexagonal axes)
Unique sites:
Tb 0.0000 0.0000 0.0000 x3
Tb 0.0000 0.5000 0.0000 x9
Pa 0.0000 0.0000 0.5000 x3
Se 0.0000 0.0000 0.2566 x6
Se 0.0017 0.5008 0.2481 x18

Computed properties:
Formation energy from raw total energies (eV per atom): -1.687
Fermi-level density of states (states/eV/cell): 17.79
DFT total energy (eV for the cell shown): -233.5



No. 12
A plane-wave DFT calculation with GGA-PBE was carried out for a relaxed SrMgSc crystal.

abc: 5.6199 5.6199 3.3945
angles: 90.00 90.00 120.00
Space group P3m1 (No. 156)
Unique sites:
Sr 0.0000 0.0000 0.0000 x1
Mg 0.6667 0.3333 0.3630 x1
Sc 0.3333 0.6667 0.6406 x1

Computed properties:
Fermi-level density of states (states/eV/cell): 3.92
E_form (kJ per mole of atoms): 24
DFT total energy (eV for the cell shown): -8.9